[1]
# PBE PmZn5Ru2, optimized geometry
# ΔH_f (0 K): -0.108 eV/atom
# ρ: 7.9 Mg/m³
data_PmZn5Ru2
_chemical_formula_sum 'Pm2 Zn10 Ru4'
_cell_length_a 4.036
_cell_length_b 7.608
_cell_length_c 9.251
_cell_angle_alpha 90.00
_cell_angle_beta 90.00
_cell_angle_gamma 90.00
_space_group_name_H-M_alt 'I m m m'
_space_group_IT_number 71
_space_group_name_Hall '-I 2 2'
loop_
_atom_site_label
_atom_site_type_symbol
_atom_site_fract_x
_atom_site_fract_y
_atom_site_fract_z
Pm1 Pm 0.000 0.000 0.000
Zn1 Zn 0.000 0.179 0.338
Zn2 Zn 0.000 0.500 0.000
Ru1 Ru 0.000 0.500 0.268


[2]
# PBE K2GeP, optimized geometry
# energy above the most stable polymorph in this dataset: 350 meV per atom
# ΔH_f (0 K): 0.341 eV/atom
# ρ: 2.6 Mg/m³
data_K2GeP
_chemical_formula_sum 'K8 Ge4 P4'
_cell_length_a 7.755
_cell_length_b 7.755
_cell_length_c 7.755
_cell_angle_alpha 90.00
_cell_angle_beta 90.00
_cell_angle_gamma 90.00
_space_group_name_H-M_alt 'F m -3 m'
_space_group_IT_number 225
_space_group_name_Hall '-F 4 2 3'
loop_
_atom_site_label
_atom_site_type_symbol
_atom_site_fract_x
_atom_site_fract_y
_atom_site_fract_z
K1 K 0.250 0.250 0.250
Ge1 Ge 0.000 0.000 0.000
P1 P 0.000 0.000 0.500


[3]
# PBE TaSN2F, optimized geometry
# energy above the most stable polymorph in this dataset: 1628 meV per atom
# energy relative to the elements, uncorrected: 1.60 eV/atom
# ρ: 7.7 Mg/m³
data_TaSN2F
_chemical_formula_sum 'Ta1 S1 N2 F1'
_cell_length_a 3.912
_cell_length_b 3.912
_cell_length_c 3.657
_cell_angle_alpha 90.00
_cell_angle_beta 90.00
_cell_angle_gamma 90.00
_space_group_name_H-M_alt 'P 4/m m m'
_space_group_IT_number 123
_space_group_name_Hall '-P 4 2'
loop_
_atom_site_label
_atom_site_type_symbol
_atom_site_fract_x
_atom_site_fract_y
_atom_site_fract_z
Ta1 Ta 0.000 0.000 0.000
S1 S 0.500 0.500 0.000
N1 N 0.000 0.500 0.500
F1 F 0.500 0.500 0.500


[4]
# PBE CoAsP2, optimized geometry
# ΔH_f (0 K): -0.065 eV/atom
# ρ: 4.5 Mg/m³
data_CoAsP2
_chemical_formula_sum 'Co4 As4 P8'
_cell_length_a 5.273
_cell_length_b 5.273
_cell_length_c 10.361
_cell_angle_alpha 90.00
_cell_angle_beta 90.00
_cell_angle_gamma 90.00
_space_group_name_H-M_alt 'I -4 2 d'
_space_group_IT_number 122
_space_group_name_Hall 'I -4 2bw'
loop_
_atom_site_label
_atom_site_type_symbol
_atom_site_fract_x
_atom_site_fract_y
_atom_site_fract_z
Co1 Co 0.000 0.000 0.000
As1 As 0.000 0.000 0.500
P1 P 0.203 0.250 0.125


[5]
# PBE CaAcGe2Au5, optimized geometry
# ΔH_f (0 K): -0.454 eV/atom
# ρ: 11.0 Mg/m³
data_CaAcGe2Au5
_chemical_formula_sum 'Ca1 Ac1 Ge2 Au5'
_cell_length_a 4.985
_cell_length_b 4.985
_cell_length_c 8.497
_cell_angle_alpha 90.00
_cell_angle_beta 90.00
_cell_angle_gamma 90.00
_space_group_name_H-M_alt 'P 4/m m m'
_space_group_IT_number 123
_space_group_name_Hall '-P 4 2'
loop_
_atom_site_label
_atom_site_type_symbol
_atom_site_fract_x
_atom_site_fract_y
_atom_site_fract_z
Ca1 Ca 0.000 0.000 0.000
Ac1 Ac 0.000 0.000 0.500
Ge1 Ge 0.500 0.500 0.164
Au1 Au 0.000 0.500 0.247
Au2 Au 0.500 0.500 0.500


[6]
# PBE GaBi3O6, optimized geometry
# energy above the most stable polymorph in this dataset: 66 meV per atom
# energy relative to the elements, uncorrected: -1.30 eV/atom
# ρ: 9.2 Mg/m³
data_GaBi3O6
_chemical_formula_sum 'Ga2 Bi6 O12'
_cell_length_a 5.589
_cell_length_b 6.231
_cell_length_c 9.887
_cell_angle_alpha 90.00
_cell_angle_beta 123.54
_cell_angle_gamma 90.00
_space_group_name_H-M_alt 'P 1 21/c 1'
_space_group_IT_number 14
loop_
_space_group_symop_operation_xyz
'x,y,z'
'-x,-y,-z'
'-x,y+1/2,-z+1/2'
'x,-y+1/2,z+1/2'
loop_
_atom_site_label
_atom_site_type_symbol
_atom_site_fract_x
_atom_site_fract_y
_atom_site_fract_z
Ga1 Ga 0.000 0.000 0.000
Bi1 Bi 0.283 0.047 0.773
Bi2 Bi 0.500 0.000 0.500
O1 O 0.102 0.068 0.227
O2 O 0.255 0.728 0.085
O3 O 0.348 0.158 0.032


| no. | magnetization (μB/cell) |
| --- | --- |
| 1 | 0.000 |
| 2 | 3.994 |
| 3 | 0.000 |
| 4 | 0.000 |
| 5 | 0.000 |
| 6 | 0.000 |